The following is a PBE calculation of SmGdS after structural relaxation, from Alexandria via LeMat-Bulk.

Cell: 3.8490 3.8490 6.4553 Å, 90.00 90.00 120.00°
Last column: nearest neighbours and their distance in Å.
Sites, in units of the cell vectors:
Sm: 0.0000 0.0000 0.0000  3 S 2.81
Gd: 0.6667 0.3333 0.4789  3 S 2.77
S: 0.3333 0.6667 0.7340  3 Gd 2.77, 3 Sm 2.81

E_form (uncorrected)   -1.29 eV/atom

=====

The following is a PBE calculation of Gd2SnS after structural relaxation, from Alexandria via LeMat-Bulk.

Cell: 8.0143 8.0143 8.0143 Å, 28.49 28.49 28.49°
Last column: nearest neighbours and their distance in Å.
Sites, in units of the cell vectors:
Gd: 0.2362 0.2362 0.2362  3 S 2.78
Gd: 0.7638 0.7638 0.7638  3 S 2.78
Sn: 0.0000 0.0000 0.0000  6 Gd 3.19
S: 0.5000 0.5000 0.5000  6 Gd 2.78

E_form (uncorrected)   -1.32 eV/atom